18
Lattice="2.212 -11.008 0.000 2.212 11.008 0.000 0.000 0.000 15.387" Properties=species:S:1:pos:R:3 comment="Rb2UCdTe5, relaxed, DFT PBE" space_group="Cmc2_1, No. 36" formation_energy_uncorrected_ev_per_atom=-0.654 pbc="T T T"
Rb 2.212 8.289 7.694
Rb 2.212 8.214 2.043
Rb 2.212 -8.214 9.737
Rb 2.212 -8.289 0.000
U 2.212 6.596 12.755
U 2.212 -6.596 5.061
Cd 2.212 1.469 3.700
Cd 2.212 -1.469 11.394
Te 2.212 9.552 13.226
Te 2.212 4.496 7.064
Te 2.212 4.367 2.975
Te 2.212 3.764 12.585
Te 2.212 0.071 1.336
Te 2.212 -0.071 9.030
Te 2.212 -3.764 4.891
Te 2.212 -4.367 10.669
Te 2.212 -4.496 14.757
Te 2.212 -9.552 5.532